Entry from Alexandria: a relaxed Ho3ErSc7 crystal (PBE).

abc: 5.432 10.420 10.698
angles: 90.00 90.00 90.00
Space group Immm (No. 71)
Asymmetric unit:
Ho1 0.000 0.000 0.000 (multiplicity 2)
Ho2 0.000 0.289 0.500 (multiplicity 4)
Er1 0.000 0.500 0.000 (multiplicity 2)
Sc1 0.000 0.000 0.500 (multiplicity 2)
Sc2 0.000 0.193 0.214 (multiplicity 8)
Sc3 0.000 0.500 0.292 (multiplicity 4)

Formation energy (eV per atom): 0.302
Crystal system: orthorhombic
Energy (eV/cell): -118.59